Record 1
An optimized crystal structure of Li2NbCu2Se4, computed with PBE.

Results
Energy relative to the elements, uncorrected, eV/atom: -0.672
Volume, Å³ per cell: 170.41
Total moment, μB per formula unit: 0.6
Final energy, eV per atom: -4.676

a = 3.736 Å, b = 7.365 Å, c = 7.350 Å
α = 118.34°, β = 104.72°, γ = 90.00°
Atoms (fractional coordinates):
Li  0.148  0.517  0.297
Li  0.852  0.483  0.703
Nb  0.000  0.000  0.000
Cu  0.679  0.980  0.357
Cu  0.321  0.020  0.643
Se  0.219  0.224  0.438
Se  0.781  0.776  0.562
Se  0.492  0.733  0.984
Se  0.508  0.267  0.016

***

Record 2
An optimized crystal structure of RbCdTePPd, computed with PBE.

Results
Energy relative to the elements, uncorrected, eV/atom: -0.343
ΔE to the lowest computed polymorph, meV per atom: 62
Volume, Å³ per cell: 280.74
Total moment, μB per formula unit: 0.0
Final energy, eV per atom: -3.469

a = 9.553 Å, b = 3.837 Å, c = 7.711 Å
α = 90.00°, β = 96.64°, γ = 90.00°
Atoms (fractional coordinates):
Rb  0.641  0.000  0.746
Rb  0.641  0.500  0.246
Cd  0.177  0.000  0.068
Cd  0.177  0.500  0.568
Te  0.347  0.000  0.400
Te  0.347  0.500  0.900
P  0.908  0.000  0.109
P  0.908  0.500  0.609
Pd  0.943  0.000  0.442
Pd  0.943  0.500  0.942

***

Record 3
An optimized crystal structure of Sr2NdTlSe4, computed with PBE.

Results
Energy relative to the elements, uncorrected, eV/atom: -1.660
Volume, Å³ per cell: 247.81
Total moment, μB per formula unit: 0.0
Final energy, eV per atom: -4.714

a = 4.430 Å, b = 7.535 Å, c = 7.838 Å
α = 71.28°, β = 90.00°, γ = 90.00°
Atoms (fractional coordinates):
Sr  0.000  0.000  0.000
Sr  0.500  0.000  0.500
Nd  0.000  0.500  0.500
Tl  0.500  0.500  0.000
Se  0.000  0.752  0.727
Se  0.000  0.248  0.273
Se  0.500  0.741  0.268
Se  0.500  0.259  0.732

***

Record 4
An optimized crystal structure of CaTl2AgF6, computed with PBE.

Results
Energy relative to the elements, uncorrected, eV/atom: -2.218
Volume, Å³ per cell: 182.14
Total moment, μB per formula unit: 1.0
Final energy, eV per atom: -4.300

a = 6.113 Å, b = 6.112 Å, c = 6.462 Å
α = 117.00°, β = 118.15°, γ = 90.29°
Atoms (fractional coordinates):
Ca  0.500  0.500  0.000
Tl  0.741  0.266  0.504
Tl  0.259  0.735  0.496
Ag  0.000  0.000  0.000
F  0.730  0.831  0.043
F  0.684  0.684  0.456
F  0.270  0.170  0.957
F  0.817  0.301  0.014
F  0.316  0.316  0.544
F  0.183  0.700  0.986

***

Record 5
An optimized crystal structure of MnGePb3, computed with PBE.

Results
Volume, Å³ per cell: 142.23
Total moment, μB per formula unit: 3.1
Final energy, eV per atom: -4.494

a = 5.220 Å, b = 5.220 Å, c = 5.220 Å
α = 90.00°, β = 90.00°, γ = 90.00°
Atoms (fractional coordinates):
Pb  0.000  0.500  0.000
Pb  0.000  0.000  0.500
Pb  0.500  0.000  0.000
Ge  0.500  0.500  0.500
Mn  0.000  0.000  0.000

***

Record 6
An optimized crystal structure of AlCr2, computed with PBE.

Results
Volume, Å³ per cell: 151.22
Total moment, μB per formula unit: 0.5
Final energy, eV per atom: -7.655

a = 9.452 Å, b = 9.452 Å, c = 9.452 Å
α = 154.95°, β = 154.95°, γ = 35.72°
Atoms (fractional coordinates):
Cr  0.248  0.248  0.000
Cr  0.752  0.752  0.000
Cr  0.998  0.498  0.500
Cr  0.502  0.002  0.500
Cr  0.422  0.422  0.000
Cr  0.578  0.578  0.000
Cr  0.172  0.672  0.500
Cr  0.328  0.828  0.500
Al  0.083  0.083  0.000
Al  0.917  0.917  0.000
Al  0.833  0.333  0.500
Al  0.667  0.167  0.500

***

Record 7
An optimized crystal structure of TaIn2Tc, computed with PBE.

Results
ΔE to the lowest computed polymorph, meV per atom: 57
Volume, Å³ per cell: 83.45
Total moment, μB per formula unit: 0.0
Final energy, eV per atom: -6.789

a = 9.517 Å, b = 9.517 Å, c = 9.517 Å
α = 19.44°, β = 19.44°, γ = 19.44°
Atoms (fractional coordinates):
In  0.008  0.008  0.008
In  0.245  0.245  0.245
Ta  0.487  0.487  0.487
Tc  0.759  0.759  0.759

***

Record 8
An optimized crystal structure of LaAlTl3, computed with PBE.

Results
ΔE to the lowest computed polymorph, meV per atom: 685
Volume, Å³ per cell: 232.33
Total moment, μB per formula unit: 0.0
Final energy, eV per atom: -2.371

a = 6.148 Å, b = 6.148 Å, c = 6.148 Å
α = 90.00°, β = 90.00°, γ = 90.00°
Atoms (fractional coordinates):
Tl  0.000  0.500  0.000
Tl  0.000  0.000  0.500
Tl  0.500  0.000  0.000
Al  0.500  0.500  0.500
La  0.000  0.000  0.000

***

Record 9
An optimized crystal structure of Cs2SnP2S6, computed with PBE.

Results
Energy relative to the elements, uncorrected, eV/atom: -0.641
Volume, Å³ per cell: 318.42
Total moment, μB per formula unit: 0.0
Final energy, eV per atom: -4.395

a = 7.234 Å, b = 7.232 Å, c = 8.169 Å
α = 116.19°, β = 90.00°, γ = 120.01°
Atoms (fractional coordinates):
Cs  0.737  0.474  0.215
Cs  0.263  0.526  0.785
Sn  0.500  0.000  0.500
P  0.945  0.890  0.832
P  0.055  0.110  0.168
S  0.764  0.528  0.766
S  0.234  0.992  0.230
S  0.243  0.008  0.770
S  0.766  0.008  0.770
S  0.757  0.992  0.230
S  0.236  0.472  0.234

***

Record 10
An optimized crystal structure of Ag3Sn4Au4, computed with PBE.

Results
Volume, Å³ per cell: 235.67
Total moment, μB per formula unit: 0.0
Final energy, eV per atom: -3.397

a = 5.163 Å, b = 3.157 Å, c = 14.771 Å
α = 96.13°, β = 100.07°, γ = 90.00°
Atoms (fractional coordinates):
Ag  0.367  0.867  0.734
Ag  0.633  0.133  0.266
Ag  0.000  0.000  0.000
Sn  0.276  0.276  0.553
Sn  0.088  0.588  0.175
Sn  0.912  0.412  0.825
Sn  0.724  0.724  0.447
Au  0.817  0.317  0.634
Au  0.452  0.452  0.905
Au  0.548  0.548  0.095
Au  0.183  0.683  0.366

***

Record 11
An optimized crystal structure of NaLa2Ga2, computed with PBE.

Results
ΔE to the lowest computed polymorph, meV per atom: 0
Volume, Å³ per cell: 284.18
Total moment, μB per formula unit: 0.2
Final energy, eV per atom: -3.810

a = 8.790 Å, b = 8.790 Å, c = 3.678 Å
α = 90.00°, β = 90.00°, γ = 90.00°
Atoms (fractional coordinates):
Na  0.000  0.000  0.000
Na  0.500  0.500  0.000
Ga  0.387  0.887  0.000
Ga  0.887  0.613  0.000
Ga  0.613  0.113  0.000
Ga  0.113  0.387  0.000
La  0.179  0.679  0.500
La  0.679  0.821  0.500
La  0.821  0.321  0.500
La  0.321  0.179  0.500

***

Record 12
An optimized crystal structure of Sm6Pt2C, computed with PBE.

Results
Volume, Å³ per cell: 477.00
Total moment, μB per formula unit: 0.0
Final energy, eV per atom: -6.132

a = 6.647 Å, b = 7.272 Å, c = 9.872 Å
α = 90.00°, β = 88.25°, γ = 90.00°
Atoms (fractional coordinates):
Sm  0.122  0.037  0.260
Sm  0.174  0.305  0.560
Sm  0.191  0.325  0.941
Sm  0.309  0.825  0.559
Sm  0.326  0.805  0.940
Sm  0.378  0.537  0.240
Sm  0.878  0.963  0.740
Sm  0.826  0.695  0.440
Sm  0.809  0.675  0.059
Sm  0.691  0.175  0.441
Sm  0.674  0.195  0.060
Sm  0.622  0.463  0.760
Pt  0.047  0.597  0.754
Pt  0.453  0.097  0.746
Pt  0.547  0.903  0.254
Pt  0.953  0.403  0.246
C  0.500  0.500  0.000
C  0.000  0.000  0.500